Entry 1:
Material: TbDy5Tm8
Method: DFT, PBE
State: relaxed

Output
Crystal system   tetragonal
Formation enthalpy at 0 K   0.25 eV/atom
E   -4.28 eV/atom

CIF file:
```
data_TbDy5Tm8
_cell_length_a 9.433
_cell_length_b 9.433
_cell_length_c 9.958
_cell_angle_alpha 90.00
_cell_angle_beta 90.00
_cell_angle_gamma 90.00
_space_group_name_H-M_alt 'I -4'
_space_group_IT_number 82
_space_group_name_Hall 'I -4'
loop_
_atom_site_label
_atom_site_type_symbol
_atom_site_fract_x
_atom_site_fract_y
_atom_site_fract_z
Tb1 Tb 0.000 0.000 0.000
Dy1 Dy 0.000 0.500 0.750
Dy2 Dy 0.113 0.712 0.327
Tm1 Tm 0.071 0.824 0.655
Tm2 Tm 0.089 0.672 0.998
```

---

Entry 2:
Material: LiP2Ir
Method: DFT, PBE
State: relaxed

Output
Excess energy over the best structure of this formula in the dataset   432 meV per atom
Crystal system   tetragonal
Formation enthalpy at 0 K   -0.15 eV/atom
E   -5.55 eV/atom

CIF file:
```
data_LiP2Ir
_cell_length_a 2.923
_cell_length_b 2.923
_cell_length_c 6.791
_cell_angle_alpha 90.00
_cell_angle_beta 90.00
_cell_angle_gamma 90.00
_space_group_name_H-M_alt 'P 4/m m m'
_space_group_IT_number 123
_space_group_name_Hall '-P 4 2'
loop_
_atom_site_label
_atom_site_type_symbol
_atom_site_fract_x
_atom_site_fract_y
_atom_site_fract_z
Li1 Li 0.000 0.000 0.000
P1 P 0.500 0.500 0.277
Ir1 Ir 0.000 0.000 0.500
```

---

Entry 3:
Material: NbSeF2
Method: DFT, PBE
State: relaxed

Output
Formation energy without anion corrections   -1485.0 meV/atom
Excess energy over the best structure of this formula in the dataset   0 meV per atom
Crystal system   trigonal
E   -5.81 eV/atom

CIF file:
```
data_NbSeF2
_cell_length_a 2.8433
_cell_length_b 2.8433
_cell_length_c 31.3425
_cell_angle_alpha 90.00
_cell_angle_beta 90.00
_cell_angle_gamma 120.00
_space_group_name_H-M_alt 'R -3 m'
_space_group_IT_number 166
_space_group_name_Hall '-R 3 2"'
loop_
_atom_site_label
_atom_site_type_symbol
_atom_site_fract_x
_atom_site_fract_y
_atom_site_fract_z
Nb1 Nb 0.0000 0.0000 0.0000
Se1 Se 0.0000 0.0000 0.5000
F1 F 0.0000 0.0000 0.3814
```

---

Entry 4:
Material: YRu2Pt
Method: DFT, PBE
State: relaxed

Output
Excess energy over the best structure of this formula in the dataset   0 meV per atom
Crystal system   tetragonal
Formation enthalpy at 0 K   -0.21 eV/atom
E   -7.98 eV/atom

CIF file:
```
data_YRu2Pt
_cell_length_a 4.023
_cell_length_b 4.023
_cell_length_c 4.180
_cell_angle_alpha 90.00
_cell_angle_beta 90.00
_cell_angle_gamma 90.00
_space_group_name_H-M_alt 'P 4/m m m'
_space_group_IT_number 123
_space_group_name_Hall '-P 4 2'
loop_
_atom_site_label
_atom_site_type_symbol
_atom_site_fract_x
_atom_site_fract_y
_atom_site_fract_z
Y1 Y 0.000 0.000 0.000
Ru1 Ru 0.000 0.500 0.500
Pt1 Pt 0.500 0.500 0.000
```

---

Entry 5:
Material: HoZrTcAu
Method: DFT, PBE
State: relaxed

Output
Crystal system   cubic
Formation enthalpy at 0 K   -0.37 eV/atom
E   -7.06 eV/atom

CIF file:
```
data_HoZrTcAu
_cell_length_a 6.847
_cell_length_b 6.847
_cell_length_c 6.847
_cell_angle_alpha 90.00
_cell_angle_beta 90.00
_cell_angle_gamma 90.00
_space_group_name_H-M_alt 'F -4 3 m'
_space_group_IT_number 216
_space_group_name_Hall 'F -4 2 3'
loop_
_atom_site_label
_atom_site_type_symbol
_atom_site_fract_x
_atom_site_fract_y
_atom_site_fract_z
Ho1 Ho 0.000 0.000 0.000
Zr1 Zr 0.000 0.000 0.500
Tc1 Tc 0.250 0.250 0.750
Au1 Au 0.250 0.250 0.250
```

---

Entry 6:
Material: Mg2Cu3Se
Method: DFT, PBE
State: relaxed

Output
Formation energy without anion corrections   -152.0 meV/atom
Excess energy over the best structure of this formula in the dataset   120 meV per atom
Crystal system   hexagonal
E   -3.31 eV/atom

CIF file:
```
data_Mg2Cu3Se
_cell_length_a 5.2076
_cell_length_b 5.2076
_cell_length_c 8.1352
_cell_angle_alpha 90.00
_cell_angle_beta 90.00
_cell_angle_gamma 120.00
_space_group_name_H-M_alt 'P 63/m m c'
_space_group_IT_number 194
_space_group_name_Hall '-P 6c 2c'
loop_
_atom_site_label
_atom_site_type_symbol
_atom_site_fract_x
_atom_site_fract_y
_atom_site_fract_z
Mg1 Mg 0.3333 0.6667 0.0688
Cu1 Cu 0.1771 0.3542 0.7500
Se1 Se 0.0000 0.0000 0.0000
```

---

Entry 7:
Material: CuPdC2
Method: DFT, PBE
State: relaxed

Output
Excess energy over the best structure of this formula in the dataset   396 meV per atom
Crystal system   cubic
Formation enthalpy at 0 K   1.84 eV/atom
E   -5.10 eV/atom

CIF file:
```
data_CuPdC2
_cell_length_a 5.411
_cell_length_b 5.411
_cell_length_c 5.411
_cell_angle_alpha 90.00
_cell_angle_beta 90.00
_cell_angle_gamma 90.00
_space_group_name_H-M_alt 'F m -3 m'
_space_group_IT_number 225
_space_group_name_Hall '-F 4 2 3'
loop_
_atom_site_label
_atom_site_type_symbol
_atom_site_fract_x
_atom_site_fract_y
_atom_site_fract_z
Cu1 Cu 0.000 0.000 0.000
Pd1 Pd 0.000 0.000 0.500
C1 C 0.250 0.250 0.250
```

---

Entry 8:
Material: La15Pm4Tm
Method: DFT, PBE
State: relaxed

Output
Crystal system   tetragonal
Formation enthalpy at 0 K   0.01 eV/atom
E   -4.86 eV/atom

CIF file:
```
data_La15Pm4Tm
_cell_length_a 5.230
_cell_length_b 5.230
_cell_length_c 26.224
_cell_angle_alpha 90.00
_cell_angle_beta 90.00
_cell_angle_gamma 90.00
_space_group_name_H-M_alt 'P 4/m m m'
_space_group_IT_number 123
_space_group_name_Hall '-P 4 2'
loop_
_atom_site_label
_atom_site_type_symbol
_atom_site_fract_x
_atom_site_fract_y
_atom_site_fract_z
La1 La 0.000 0.000 0.000
La2 La 0.000 0.000 0.199
La3 La 0.000 0.000 0.400
La4 La 0.000 0.500 0.099
La5 La 0.000 0.500 0.299
La6 La 0.000 0.500 0.500
Pm1 Pm 0.500 0.500 0.199
Pm2 Pm 0.500 0.500 0.400
Tm1 Tm 0.500 0.500 0.000
```